No. 1
# Sr2MoCl | the Alexandria database | PBE-GGA | relaxed
data_Sr2MoCl
_chemical_formula_sum 'Sr8 Mo4 Cl4'
_space_group_name_H-M_alt 'F m -3 m'
_space_group_IT_number 225
_space_group_name_Hall '-F 4 2 3'
_cell_length_a 8.0560
_cell_length_b 8.0560
_cell_length_c 8.0560
_cell_angle_alpha 90.00
_cell_angle_beta 90.00
_cell_angle_gamma 90.00
loop_
_atom_site_label
_atom_site_type_symbol
_atom_site_fract_x
_atom_site_fract_y
_atom_site_fract_z
Sr1 Sr 0.2500 0.2500 0.2500
Mo1 Mo 0.0000 0.0000 0.0000
Cl1 Cl 0.0000 0.0000 0.5000
# - Uncorrected formation energy: 0.32 eV per atom
# - D(E_F): 28.1 states/eV/cell
# - Excess energy over the best structure of this formula in the dataset: 0.416 eV/atom
# - Total energy: -3.691 eV per atom
# - Total magnetization: 16.7 Bohr magnetons per cell

No. 2
# Mn2OsPt | the Alexandria database | PBE-GGA | relaxed
data_Mn2OsPt
_chemical_formula_sum 'Mn2 Os1 Pt1'
_space_group_name_H-M_alt 'P 4/m m m'
_space_group_IT_number 123
_space_group_name_Hall '-P 4 2'
_cell_length_a 2.6825
_cell_length_b 2.6825
_cell_length_c 7.4479
_cell_angle_alpha 90.00
_cell_angle_beta 90.00
_cell_angle_gamma 90.00
loop_
_atom_site_label
_atom_site_type_symbol
_atom_site_fract_x
_atom_site_fract_y
_atom_site_fract_z
Mn1 Mn 0.0000 0.0000 0.2406
Os1 Os 0.5000 0.5000 0.0000
Pt1 Pt 0.5000 0.5000 0.5000
# - D(E_F): 4.7 states/eV/cell
# - Energy relative to the elements: -66 meV/atom
# - Total energy: -8.968 eV per atom
# - Total magnetization: 3.7 Bohr magnetons per cell

No. 3
# Sr2TlInI | the Alexandria database | PBE-GGA | relaxed
data_Sr2TlInI
_chemical_formula_sum 'Sr2 Tl1 In1 I1'
_space_group_name_H-M_alt 'P 4/m m m'
_space_group_IT_number 123
_space_group_name_Hall '-P 4 2'
_cell_length_a 6.7553
_cell_length_b 6.7553
_cell_length_c 5.9563
_cell_angle_alpha 90.00
_cell_angle_beta 90.00
_cell_angle_gamma 90.00
loop_
_atom_site_label
_atom_site_type_symbol
_atom_site_fract_x
_atom_site_fract_y
_atom_site_fract_z
Sr1 Sr 0.0000 0.5000 0.0000
Tl1 Tl 0.0000 0.0000 0.5000
In1 In 0.0000 0.0000 0.0000
I1 I 0.5000 0.5000 0.5000
# - Uncorrected formation energy: -0.31 eV per atom
# - D(E_F): 2.0 states/eV/cell
# - Total energy: -2.313 eV per atom
# - Total magnetization: 0.0 Bohr magnetons per cell

Look up the total energy of the third one.
-2.313 eV per atom

Which formula does entry 3 have?
Sr2TlInI